Below is a geometry-optimized PuSb2Rh4 structure, with properties calculated at the PBE level.

Cell: 4.1368 7.9584 7.9584 Å, 90.00 90.00 90.00°
With the nearest neighbours (Å) after each atom.
Positions (direct):
Rh1 0.0000 0.0848 0.3483  3 Sb 2.64, 5 Rh 2.77-2.85
Rh2 0.0000 0.9152 0.6517  3 Sb 2.64, 5 Rh 2.77-2.85
Rh3 0.0000 0.6517 0.9152  3 Sb 2.64, 5 Rh 2.77-2.85
Rh4 0.5000 0.5848 0.1517  3 Sb 2.64, 5 Rh 2.77-2.85
Rh5 0.5000 0.1517 0.5848  3 Sb 2.64, 5 Rh 2.77-2.85
Rh6 0.5000 0.8483 0.4152  3 Sb 2.64, 5 Rh 2.77-2.85
Rh7 0.0000 0.3483 0.0848  3 Sb 2.64, 5 Rh 2.77-2.85
Rh8 0.5000 0.4152 0.8483  3 Sb 2.64, 5 Rh 2.77-2.85
Pu1 0.0000 0.5000 0.5000  6 Sb 3.13-3.24
Pu2 0.5000 0.0000 0.0000  6 Sb 3.13-3.24
Sb1 0.5000 0.2784 0.2784  6 Rh 2.64
Sb2 0.5000 0.7216 0.7216  6 Rh 2.64
Sb3 0.0000 0.2216 0.7784  6 Rh 2.64
Sb4 0.0000 0.7784 0.2216  6 Rh 2.64

Energy relative to the elements, uncorrected: -0.4448 eV per atom
Volume: 262 Å³/cell
ρ: 11397 kg/m3
Magnetic moment: 11.23 μB per cell
Fermi-level density of states: 31.60 states/eV/cell